This record from Alexandria via LeMat-Bulk describes a geometry-optimized Pm2Dy6Th3 structure. The functional is PBE.

Computed properties:
V (Å³ per cell): 375
Crystal system: monoclinic
Formation energy (eV/atom): 0.16
ρ (Mg/m³): 8.67

abc: 6.1868 6.1868 11.3307
angles: 90.06 90.06 120.04
With the nearest neighbours (Å) after each atom.
Sites, in units of the cell vectors:
Pm  0.1663  0.8337  0.0000  6 Dy 3.55-3.56, 3 Pm 3.57
Pm  0.8337  0.1663  0.0000  6 Dy 3.55-3.56, 3 Pm 3.57
Dy  0.1685  0.1685  0.2550  3 Th 3.45-3.46, 6 Dy 3.54-3.59, 2 Pm 3.55
Dy  0.1709  0.5010  0.7453  3 Th 3.45-3.47, 6 Dy 3.54-3.59, 2 Pm 3.55-3.56
Dy  0.4990  0.8291  0.2547  3 Th 3.45-3.47, 6 Dy 3.54-3.59, 2 Pm 3.55-3.56
Dy  0.5010  0.1709  0.7453  3 Th 3.45-3.47, 6 Dy 3.54-3.59, 2 Pm 3.55-3.56
Dy  0.8291  0.4990  0.2547  3 Th 3.45-3.47, 6 Dy 3.54-3.59, 2 Pm 3.55-3.56
Dy  0.8315  0.8315  0.7450  3 Th 3.45-3.46, 6 Dy 3.54-3.59, 2 Pm 3.55
Th  0.1666  0.8334  0.5000  6 Dy 3.46-3.47, 6 Th 3.57
Th  0.5000  0.5000  0.5000  6 Dy 3.45, 6 Th 3.57
Th  0.8334  0.1666  0.5000  6 Dy 3.46-3.47, 6 Th 3.57

This record from Alexandria via LeMat-Bulk describes a geometry-optimized Pm3DyTh3 structure. The functional is PBE.

Computed properties:
V (Å³ per cell): 469
Crystal system: hexagonal
Formation energy (eV/atom): 0.06
ρ (Mg/m³): 9.17

abc: 9.5873 9.5873 5.8869
angles: 90.00 90.00 120.00
With the nearest neighbours (Å) after each atom.
Sites, in units of the cell vectors:
Pm  0.0441  0.2432  0.2500  5 Th 3.50-3.78, 1 Dy 3.59, 6 Pm 3.65-3.73
Pm  0.1990  0.9559  0.2500  5 Th 3.50-3.78, 1 Dy 3.59, 6 Pm 3.65-3.73
Pm  0.2432  0.1990  0.7500  5 Th 3.50-3.78, 1 Dy 3.59, 6 Pm 3.65-3.73
Pm  0.7568  0.8010  0.2500  5 Th 3.50-3.78, 1 Dy 3.59, 6 Pm 3.65-3.73
Pm  0.8010  0.0441  0.7500  5 Th 3.50-3.78, 1 Dy 3.59, 6 Pm 3.65-3.73
Pm  0.9559  0.7568  0.7500  5 Th 3.50-3.78, 1 Dy 3.59, 6 Pm 3.65-3.73
Dy  0.3333  0.6667  0.2500  9 Th 3.55-3.68, 3 Pm 3.59
Dy  0.6667  0.3333  0.7500  9 Th 3.55-3.68, 3 Pm 3.59
Th  0.1043  0.4898  0.7500  4 Th 3.45-3.62, 5 Pm 3.50-3.78, 3 Dy 3.55-3.68
Th  0.3855  0.8957  0.7500  4 Th 3.45-3.62, 5 Pm 3.50-3.78, 3 Dy 3.55-3.68
Th  0.4898  0.3855  0.2500  4 Th 3.45-3.62, 5 Pm 3.50-3.78, 3 Dy 3.55-3.68
Th  0.5102  0.6145  0.7500  4 Th 3.45-3.62, 5 Pm 3.50-3.78, 3 Dy 3.55-3.68
Th  0.6145  0.1043  0.2500  4 Th 3.45-3.62, 5 Pm 3.50-3.78, 3 Dy 3.55-3.68
Th  0.8957  0.5102  0.2500  4 Th 3.45-3.62, 5 Pm 3.50-3.78, 3 Dy 3.55-3.68